Record 1
RbSc2O | PBE | optimized geometry

Properties
calculated total energy	-5.632	eV per atom
space-group type	No. 227

Cell and atoms, written as extended XYZ:
```
8
Lattice="-5.910 -0.395 -3.542 -1.532 -5.911 3.216 -5.999 -0.647 3.358" Properties=species:S:1:pos:R:3 pbc="T T T"
Sc -3.909 -1.049 -0.088
Sc -4.672 -4.004 1.522
Sc -7.673 -4.326 3.199
Sc -10.628 -4.526 1.430
O -3.721 -3.153 -0.163
O -5.626 -4.855 3.205
Rb 0.000 0.000 0.000
Rb -7.815 -2.097 -0.174
```

---

Record 2
RbScO2 | PBE | optimized geometry

Properties
calculated total energy	-6.959	eV per atom
space-group type	No. 194

Cell and atoms, written as extended XYZ:
```
8
Lattice="-2.311 -2.195 0.796 2.343 0.777 2.167 -7.409 9.472 4.615" Properties=species:S:1:pos:R:3 pbc="T T T"
Sc 0.000 0.000 0.000
Sc -3.704 4.736 2.308
O -2.290 3.727 3.630
O -7.546 7.473 5.481
O 0.170 0.582 2.097
O -5.086 4.327 3.948
Rb -4.765 6.891 5.172
Rb -2.612 1.164 2.407
```

---

Record 3
Rb2ScO | PBE | optimized geometry

Properties
calculated total energy	-4.215	eV per atom
space-group type	No. 122

Cell and atoms, written as extended XYZ:
```
8
Lattice="-11.932 1.775 6.037 2.919 -9.904 8.681 -3.683 -2.738 8.596" Properties=species:S:1:pos:R:3 pbc="T T T"
Sc 0.000 0.000 0.000
Sc -10.061 -2.514 10.996
O -4.506 -4.064 7.359
O -2.635 -8.353 12.318
Rb -5.946 -1.121 5.961
Rb -2.655 -6.345 9.376
Rb -5.636 -6.818 13.471
Rb -11.154 -7.450 17.821
```

---

Record 4
RbScO2 | PBE | optimized geometry

Properties
calculated total energy	-6.582	eV per atom
space-group type	No. 63

Cell and atoms, written as extended XYZ:
```
8
Lattice="2.112 -9.834 0.000 2.112 9.834 0.000 0.000 0.000 4.058" Properties=species:S:1:pos:R:3 pbc="T T T"
Sc 2.112 8.533 1.014
Sc 2.112 -8.533 3.043
O 2.112 6.653 1.014
O 2.112 -6.653 3.043
O 2.112 -8.918 1.014
O 2.112 8.918 3.043
Rb 2.112 3.713 1.014
Rb 2.112 -3.713 3.043
```

---

Record 5
Rb5ScO4 | PBE | optimized geometry

Properties
calculated total energy	-4.771	eV per atom
space-group type	No. 59

Cell and atoms, written as extended XYZ:
```
20
Lattice="6.630 0.000 0.000 0.000 8.965 0.000 0.000 0.000 8.273" Properties=species:S:1:pos:R:3 pbc="T T T"
Rb 4.901 1.700 1.959
Rb 4.901 1.700 6.314
Rb 1.048 0.000 4.137
Rb 4.901 7.265 1.959
Rb 4.901 7.265 6.314
Rb 1.729 6.183 2.177
Rb 1.729 6.183 6.096
Rb 5.582 4.483 0.000
Rb 1.729 2.783 6.096
Rb 1.729 2.783 2.177
Sc 1.393 0.000 0.000
Sc 5.237 4.483 4.137
O 0.299 1.724 0.000
O 2.473 0.000 1.723
O 2.473 0.000 6.550
O 0.299 7.241 0.000
O 6.331 6.207 4.137
O 4.157 4.483 2.414
O 4.157 4.483 5.860
O 6.331 2.758 4.137
```

---

Record 6
RbScO2 | PBE | optimized geometry

Properties
calculated total energy	-6.725	eV per atom
space-group type	No. 156

Cell and atoms, written as extended XYZ:
```
4
Lattice="3.098 -1.788 0.000 0.000 3.577 0.000 0.000 0.000 6.787" Properties=species:S:1:pos:R:3 pbc="T T T"
Sc 1.033 1.788 3.013
O 1.033 1.788 4.826
O 2.065 0.000 2.371
Rb 0.000 0.000 6.453
```

---

Record 7
RbScO2 | PBE | optimized geometry

Properties
calculated total energy	-6.464	eV per atom
space-group type	No. 63

Cell and atoms, written as extended XYZ:
```
8
Lattice="-6.823 6.698 0.327 5.516 -7.091 -3.289 -3.053 -3.196 1.770" Properties=species:S:1:pos:R:3 pbc="T T T"
Sc 0.940 -3.629 -1.729
Sc -5.300 0.040 0.537
O 2.186 -5.021 -2.094
O -6.546 1.433 0.902
O -6.050 4.182 0.319
O 1.690 -7.771 -1.511
Rb 3.893 -6.929 -2.594
Rb -8.252 3.340 1.402
```

---

Record 8
RbScO2 | PBE | optimized geometry

Properties
calculated total energy	-6.965	eV per atom
space-group type	No. 74

Cell and atoms, written as extended XYZ:
```
8
Lattice="-1.896 3.559 1.493 -1.313 -0.718 -6.148 -3.081 -3.408 4.213" Properties=species:S:1:pos:R:3 pbc="T T T"
Sc -2.477 -0.141 1.634
Sc -3.390 -2.235 -0.725
Rb -4.881 -0.052 4.561
Rb -2.882 1.234 -2.159
O -4.046 -0.408 0.277
O -3.716 1.590 2.125
O -2.049 0.157 -4.726
O -3.590 -1.547 -2.620
```

---

Record 9
RbScO2 | PBE | optimized geometry

Properties
calculated total energy	-6.847	eV per atom
space-group type	No. 62

Cell and atoms, written as extended XYZ:
```
16
Lattice="6.776 0.000 0.000 0.000 3.231 0.000 0.000 0.000 13.863" Properties=species:S:1:pos:R:3 pbc="T T T"
Sc 3.100 0.808 5.655
Sc 0.289 2.423 12.586
Sc 3.677 2.423 8.208
Sc 6.488 0.808 1.277
O 4.638 0.808 6.958
O 5.526 2.423 0.026
O 2.138 2.423 6.905
O 1.250 0.808 13.836
O 3.343 0.808 9.384
O 0.045 2.423 2.453
O 3.433 2.423 4.479
O 6.731 0.808 11.410
Rb 0.506 0.808 8.771
Rb 2.882 2.423 1.840
Rb 6.270 2.423 5.092
Rb 3.895 0.808 12.023
```

---

Record 10
Rb3Sc5O12 | PBE | optimized geometry

Properties
calculated total energy	-6.846	eV per atom
space-group type	No. 230

Cell and atoms, written as extended XYZ:
```
80
Lattice="12.222 0.000 0.000 -4.074 11.523 0.000 -4.074 -5.762 9.979" Properties=species:S:1:pos:R:3 pbc="T T T"
Rb 7.130 3.601 1.247
Rb 7.130 7.922 1.247
Rb -1.019 5.041 6.237
Rb 1.019 -0.720 3.742
Rb 9.167 0.000 2.495
Rb 1.019 5.762 2.495
Rb 3.056 0.000 7.485
Rb -5.093 5.762 7.485
Rb 3.056 6.482 6.237
Rb 5.093 0.720 3.742
Rb -3.056 -2.161 8.732
Rb -3.056 2.161 8.732
Sc -1.019 2.881 2.495
Sc -2.037 5.762 0.000
Sc 0.000 0.000 0.000
Sc 3.056 2.161 1.247
Sc 4.074 -2.881 4.990
Sc 4.074 5.762 0.000
Sc -3.056 6.482 3.742
Sc 5.093 -3.601 8.732
Sc 5.093 5.041 3.742
Sc 1.019 -2.881 7.485
Sc 3.056 8.642 2.495
Sc 2.037 2.881 4.990
Sc 6.111 0.000 0.000
Sc -2.037 -2.881 4.990
Sc -1.019 0.720 6.237
Sc -1.019 9.363 1.247
Sc -4.074 2.881 4.990
Sc 7.130 -0.720 6.237
Sc 1.019 3.601 8.732
Sc 5.093 2.881 7.485
O 3.774 -4.547 9.898
O 0.300 3.418 3.898
O -2.856 2.711 3.261
O 4.893 1.412 1.011
O 1.471 3.832 6.799
O -3.122 5.978 1.810
O -1.218 7.061 4.272
O -2.856 10.111 1.011
O 4.640 -3.832 6.799
O 5.159 5.545 1.810
O 6.411 3.558 3.979
O 2.337 4.547 9.898
O -3.508 4.923 4.909
O 2.989 4.086 0.717
O -4.374 7.965 3.979
O 2.337 -2.344 6.082
O -0.566 1.092 1.728
O 2.989 7.221 1.092
O 4.893 8.812 3.261
O -0.952 4.303 1.092
O 1.471 -4.670 8.251
O 3.255 4.462 4.272
O 5.545 6.600 4.909
O 5.026 -1.675 9.262
O 0.819 1.299 5.707
O -1.471 -0.838 5.071
O -0.952 7.437 0.717
O -0.819 -3.050 6.718
O 2.603 10.432 1.728
O 5.026 1.459 8.887
O 1.085 -1.459 8.887
O 1.737 8.106 3.898
O 4.640 4.670 8.251
O 8.448 -2.203 6.001
O 7.582 0.838 5.071
O 1.737 1.214 0.081
O 1.085 1.675 9.262
O -0.566 9.594 3.180
O -1.085 0.216 8.170
O -2.337 2.203 6.001
O 6.930 -4.350 8.968
O 5.292 -1.299 5.707
O -0.819 4.350 8.968
O 7.196 -0.216 8.170
O 2.603 1.930 3.180
O 6.930 3.050 6.718
O 3.774 2.344 6.082
O 0.300 10.309 0.081
```

---

Record 11
RbScO2 | PBE | optimized geometry

Properties
calculated total energy	-6.991	eV per atom
space-group type	No. 129

Cell and atoms, written as extended XYZ:
```
8
Lattice="-4.181 -7.799 0.063 1.618 -0.837 3.612 -3.178 1.719 1.821" Properties=species:S:1:pos:R:3 pbc="T T T"
Sc -2.298 -7.082 3.706
Sc -1.241 0.638 2.759
Rb -3.538 -3.644 2.793
Rb -0.001 -2.800 3.673
O -1.415 -5.435 3.692
O -4.250 -6.901 4.623
O -3.471 -7.342 1.906
O -2.124 -1.009 2.774
```

---

Record 12
RbScO2 | PBE | optimized geometry

Properties
calculated total energy	-6.961	eV per atom
space-group type	No. 15

Cell and atoms, written as extended XYZ:
```
32
Lattice="-10.766 -0.644 7.961 2.344 -4.858 4.177 3.397 4.714 3.575" Properties=species:S:1:pos:R:3 pbc="T T T"
Sc -1.969 -1.262 5.221
Sc 3.077 0.777 7.525
Sc -3.056 0.474 10.493
Sc -8.102 -1.565 8.189
Sc -0.834 -3.655 7.297
Sc 1.377 -1.615 5.698
Sc -4.191 2.867 8.416
Sc -6.402 0.827 10.016
O 3.051 -0.550 6.012
O -3.385 0.101 4.786
O -8.075 -0.239 9.702
O -1.640 -0.889 10.927
O -7.723 -0.665 6.447
O -4.848 -0.390 10.326
O 2.699 -0.123 9.266
O -0.177 -0.398 5.388
O -2.282 -2.308 6.917
O 1.412 -2.927 4.169
O -2.742 1.520 8.797
O -6.437 2.139 11.544
O -5.918 1.863 8.376
O 0.894 -2.651 7.337
O -6.650 -2.918 8.401
O 1.625 2.130 7.313
Rb -0.081 -0.424 2.309
Rb -0.273 -0.024 8.462
Rb -4.944 -0.364 13.405
Rb -4.751 -0.764 7.252
Rb -1.275 2.390 6.258
Rb 1.458 1.948 4.226
Rb -3.749 -3.178 9.455
Rb -6.483 -2.736 11.488
```

---

Table of formation energy from raw total energies (eV/atom), in record order: -0.985, -2.655, -0.909, -2.278, -1.671, -2.421, -2.160, -2.661, -2.544, -2.143, -2.687, -2.657